Entry 1:
# PrSnHg (GGA-PBE, relaxed)
# - Uncorrected energy: -42.57 eV for the cell shown
# - E_form: -150 kJ/mol of formula units
# - Calculated density: 9.3 g cm⁻³
data_PrSnHg
_space_group_name_H-M_alt 'I m m 2'
_space_group_IT_number 44
_cell_length_a 4.7167
_cell_length_b 7.5568
_cell_length_c 9.1973
_cell_angle_alpha 90.00
_cell_angle_beta 90.00
_cell_angle_gamma 90.00
loop_
_space_group_symop_operation_xyz
'x,y,z'
'-x,-y,z'
'-x,y,z'
'x,-y,z'
'x+1/2,y+1/2,z+1/2'
'-x+1/2,-y+1/2,z+1/2'
'-x+1/2,y+1/2,z+1/2'
'x+1/2,-y+1/2,z+1/2'
loop_
_atom_site_label
_atom_site_type_symbol
_atom_site_fract_x
_atom_site_fract_y
_atom_site_fract_z
Pr1 Pr 0.0000 0.0000 0.0000
Pr2 Pr 0.0000 0.5000 0.1090
Sn1 Sn 0.0000 0.2100 0.3942
Hg1 Hg 0.0000 0.3024 0.7111


Entry 2:
# MnTePt2 (GGA-PBE, relaxed)
# - Uncorrected energy: -24.93 eV for the cell shown
# - Calculated density: 13.5 g cm⁻³
# - Formation energy from raw total energies: -0.13 eV per atom
data_MnTePt2
_space_group_name_H-M_alt 'P m m m'
_space_group_IT_number 47
_cell_length_a 3.5256
_cell_length_b 3.5497
_cell_length_c 5.6124
_cell_angle_alpha 90.00
_cell_angle_beta 90.00
_cell_angle_gamma 90.00
loop_
_space_group_symop_operation_xyz
'x,y,z'
'-x,-y,-z'
'-x,-y,z'
'x,y,-z'
'x,-y,-z'
'-x,y,z'
'-x,y,-z'
'x,-y,z'
loop_
_atom_site_label
_atom_site_type_symbol
_atom_site_fract_x
_atom_site_fract_y
_atom_site_fract_z
Mn1 Mn 0.0000 0.0000 0.0000
Te1 Te 0.0000 0.0000 0.5000
Pt1 Pt 0.5000 0.5000 0.2365


Entry 3:
# Ca2PmNd2 (GGA-PBE, relaxed)
# - Uncorrected energy: -36.25 eV for the cell shown
# - E_form: 16 kJ/mol of formula units
# - Offset from the most stable computed form: 0 meV per atom
# - Calculated density: 4.6 g cm⁻³
data_Ca2PmNd2
_space_group_name_H-M_alt 'C 1 2/m 1'
_space_group_IT_number 12
_cell_length_a 6.4558
_cell_length_b 3.7226
_cell_length_c 15.7198
_cell_angle_alpha 90.00
_cell_angle_beta 98.04
_cell_angle_gamma 90.00
loop_
_space_group_symop_operation_xyz
'x,y,z'
'-x,-y,-z'
'-x,y,-z'
'x,-y,z'
'x+1/2,y+1/2,z'
'-x+1/2,-y+1/2,-z'
'-x+1/2,y+1/2,-z'
'x+1/2,-y+1/2,z'
loop_
_atom_site_label
_atom_site_type_symbol
_atom_site_fract_x
_atom_site_fract_y
_atom_site_fract_z
Ca1 Ca 0.2009 0.0000 0.1060
Pm1 Pm 0.0000 0.0000 0.5000
Nd1 Nd 0.1036 0.5000 0.3121